## TbPm4Nd2Ho (PBE)

Data for TbPm4Nd2Ho after structural relaxation.

Calculated values
Total DFT energy (no corrections) ... -4.331 eV/atom
Magnetic moment ... 0.00 μB per cell
Formation energy ... 0.3869 eV/atom
DOS at the Fermi energy ... 35.231 states/eV/cell

Unit cell a=9.5930 b=9.5930 c=11.9859 alpha=128.54 beta=128.54 gamma=87.97
Element x y z (fractional)
Pm: 0.2883 0.2918 0.0429
Pm: 0.2449 0.7532 0.9860
Pm: 0.7551 0.2468 0.0140
Pm: 0.7918 0.7883 0.5429
Pm: 0.2532 0.7449 0.4860
Pm: 0.7117 0.7082 0.9571
Pm: 0.2082 0.2117 0.4571
Pm: 0.7468 0.2551 0.5140
Nd: 0.5000 0.5000 0.0000
Nd: 0.0000 0.0000 0.5000
Nd: 0.5000 0.0000 0.5000
Nd: 0.5000 0.0000 0.0000
Ho: 0.0000 0.0000 0.0000
Ho: 0.5000 0.5000 0.5000
Tb: 0.0000 0.5000 0.0000
Tb: 0.0000 0.5000 0.5000

## Ta5Re4Ru (PBE)

Data for Ta5Re4Ru after structural relaxation.

Calculated values
Total DFT energy (no corrections) ... -12.242 eV/atom
Magnetic moment ... 0.00 μB per cell
Formation energy ... -0.4089 eV/atom
DOS at the Fermi energy ... 3.688 states/eV/cell

Unit cell a=3.1994 b=3.1994 c=15.9497 alpha=90.00 beta=90.00 gamma=90.00
Element x y z (fractional)
Re: 0.0000 0.0000 0.8019
Re: 0.0000 0.0000 0.3996
Re: 0.0000 0.0000 0.1981
Re: 0.0000 0.0000 0.6004
Ta: 0.5000 0.5000 0.2998
Ta: 0.5000 0.5000 0.1006
Ta: 0.5000 0.5000 0.7002
Ta: 0.5000 0.5000 0.5000
Ta: 0.5000 0.5000 0.8994
Ru: 0.0000 0.0000 0.0000

## PrYHo (PBE)

Data for PrYHo after structural relaxation.

Calculated values
Total DFT energy (no corrections) ... -5.209 eV/atom
Magnetic moment ... 0.00 μB per cell
Formation energy ... 0.0643 eV/atom
DOS at the Fermi energy ... 5.473 states/eV/cell
Offset from the most stable computed form ... 0.149 eV/f.u.

Unit cell a=3.5489 b=5.6766 c=5.6766 alpha=120.00 beta=90.00 gamma=90.00
Element x y z (fractional)
Pr: 0.1658 0.0000 0.0000
Ho: 0.1677 0.3333 0.6667
Y: 0.6665 0.6667 0.3333

## CdPtCl2 (PBE)

Data for CdPtCl2 after structural relaxation.

Calculated values
Total DFT energy (no corrections) ... -3.101 eV/atom
Magnetic moment ... 0.00 μB per cell
Formation energy from raw total energies ... -1.75 eV/f.u.
Offset from the most stable computed form ... 0.000 eV/f.u.

Unit cell a=7.0613 b=7.0613 c=4.2798 alpha=89.83 beta=89.83 gamma=30.06
Element x y z (fractional)
Cd: 0.7500 0.7500 0.7500
Cl: 0.1035 0.1035 0.9849
Cl: 0.3965 0.3965 0.5151
Pt: 0.2500 0.2500 0.2500

## DyLuTlRh (PBE)

Data for DyLuTlRh after structural relaxation.

Calculated values
Total DFT energy (no corrections) ... -5.224 eV/atom
Magnetic moment ... 0.00 μB per cell
Formation energy ... -0.5141 eV/atom
DOS at the Fermi energy ... 1.348 states/eV/cell

Unit cell a=5.0629 b=5.0629 c=5.0629 alpha=60.00 beta=60.00 gamma=60.00
Element x y z (fractional)
Tl: 0.0000 0.0000 0.0000
Lu: 0.7500 0.7500 0.7500
Rh: 0.5000 0.5000 0.5000
Dy: 0.2500 0.2500 0.2500